[1]
{"formula": "RbSc2SiSb", "functional": "PBE", "state": "optimized geometry", "spacegroup": "P4/mmm (123)", "dft_energy_ev_per_atom": -4.51, "raw_formation_energy_mev_per_atom": 129, "lattice": [[5.206, 0.000, 0.000], [0.000, 5.670, 0.000], [0.000, 0.000, 5.206]], "species": ["Si", "Rb", "Sc", "Sb", "Sc"], "frac_coords": [[0.000, 0.000, 0.000], [0.500, 0.500, 0.500], [0.500, 0.000, 0.000], [0.000, 0.500, 0.000], [0.000, 0.000, 0.500]]}

[2]
{"formula": "Sm5In2Ga", "functional": "PBE", "state": "optimized geometry", "spacegroup": "Pbam (55)", "e_above_lowest_polymorph_ev_per_atom": 0.0000, "dft_energy_ev_per_atom": -4.43, "formation_enthalpy_0k_ev_per_fu": -3.31, "lattice": [[-4.037, 2.977, -1.340], [0.961, -1.630, -6.518], [-8.053, -10.296, 1.387]], "species": ["Sm", "Sm", "Ga", "Sm", "Ga", "Sm", "In", "Sm", "Sm", "In", "Sm", "In", "In", "Sm", "Sm", "Sm"], "frac_coords": [[0.000, 0.130, 0.780], [0.500, 0.661, 0.402], [0.000, 0.500, 0.500], [0.500, 0.339, 0.598], [0.000, 0.000, 0.000], [0.000, 0.000, 0.500], [0.500, 0.874, 0.649], [0.500, 0.839, 0.902], [0.000, 0.630, 0.720], [0.500, 0.626, 0.149], [0.000, 0.500, 0.000], [0.500, 0.126, 0.351], [0.500, 0.374, 0.851], [0.000, 0.370, 0.280], [0.000, 0.870, 0.220], [0.500, 0.161, 0.098]]}

[3]
{"formula": "Tl2BrNO", "functional": "PBE", "state": "optimized geometry", "spacegroup": "P4/mmm (123)", "dft_energy_ev_per_atom": -2.84, "raw_formation_energy_mev_per_atom": 1095, "lattice": [[6.070, 0.000, 0.000], [0.000, 3.853, 0.000], [0.000, 0.000, 6.070]], "species": ["Tl", "Tl", "Br", "O", "N"], "frac_coords": [[0.000, 0.000, 0.500], [0.500, 0.000, 0.000], [0.000, 0.000, 0.000], [0.500, 0.500, 0.500], [0.000, 0.500, 0.000]]}

[4]
{"formula": "CrTc4Ru", "functional": "PBE", "state": "optimized geometry", "spacegroup": "F-43m (216)", "dft_energy_ev_per_atom": -9.67, "formation_enthalpy_0k_ev_per_fu": 2.34, "lattice": [[-0.810, -0.076, 4.973], [-2.994, 3.456, 2.118], [-4.514, -1.338, 1.797]], "species": ["Tc", "Cr", "Tc", "Tc", "Ru", "Tc"], "frac_coords": [[0.126, 0.625, 0.625], [0.250, 0.250, 0.250], [0.625, 0.625, 0.126], [0.625, 0.126, 0.625], [0.000, 0.000, 0.000], [0.625, 0.625, 0.625]]}

[5]
{"formula": "RbTaFeGeTe", "functional": "PBE", "state": "optimized geometry", "spacegroup": "R3m (160)", "e_above_lowest_polymorph_ev_per_atom": 0.1456, "dft_energy_ev_per_atom": -5.95, "raw_formation_energy_mev_per_atom": -146, "lattice": [[-0.272, -3.397, 2.263], [1.978, -0.080, -3.579], [22.813, 6.476, 12.465]], "species": ["Fe", "Ta", "Rb", "Te", "Te", "Fe", "Rb", "Ta", "Ge", "Ta", "Ge", "Te", "Ge", "Rb", "Fe"], "frac_coords": [[0.333, 0.667, 0.885], [0.667, 0.333, 0.910], [0.000, 0.000, 0.065], [0.000, 0.000, 0.839], [0.333, 0.667, 0.506], [0.000, 0.000, 0.218], [0.333, 0.667, 0.732], [0.000, 0.000, 0.577], [0.667, 0.333, 0.638], [0.333, 0.667, 0.244], [0.000, 0.000, 0.305], [0.667, 0.333, 0.173], [0.333, 0.667, 0.971], [0.667, 0.333, 0.399], [0.667, 0.333, 0.552]]}

[6]
{"formula": "Li2ZrFe", "functional": "PBE", "state": "optimized geometry", "spacegroup": "Fm-3m (225)", "e_above_lowest_polymorph_ev_per_atom": 0.3591, "dft_energy_ev_per_atom": -4.68, "formation_enthalpy_0k_ev_per_fu": 2.14, "lattice": [[0.000, 3.045, 3.045], [3.045, 0.000, 3.045], [3.045, 3.045, 0.000]], "species": ["Zr", "Fe", "Li", "Li"], "frac_coords": [[0.500, 0.500, 0.500], [0.000, 0.000, 0.000], [0.250, 0.250, 0.250], [0.750, 0.750, 0.750]]}

[7]
{"formula": "Zr3Be", "functional": "PBE", "state": "optimized geometry", "spacegroup": "Pmm2 (25)", "e_above_lowest_polymorph_ev_per_atom": 0.1725, "dft_energy_ev_per_atom": -7.14, "formation_enthalpy_0k_ev_per_fu": 0.80, "lattice": [[-1.102, 1.950, -2.162], [0.648, -3.452, -3.445], [-4.890, -1.792, 0.876]], "species": ["Zr", "Zr", "Zr", "Be"], "frac_coords": [[0.500, 0.500, 0.855], [0.500, 0.000, 0.474], [0.000, 0.500, 0.332], [0.000, 0.000, 0.006]]}

[8]
{"formula": "GdHO", "functional": "PBE", "state": "optimized geometry", "spacegroup": "F-43m (216)", "e_above_lowest_polymorph_ev_per_atom": 0.0000, "dft_energy_ev_per_atom": -9.70, "lattice": [[-2.308, 2.262, -2.023], [-3.452, -1.240, -1.043], [-3.124, 1.472, 1.617]], "species": ["H", "O", "Gd"], "frac_coords": [[0.000, 0.000, 0.000], [0.500, 0.500, 0.500], [0.250, 0.250, 0.250]]}

[9]
{"formula": "Na3Cu2RhO6", "functional": "PBE", "state": "optimized geometry", "spacegroup": "C2/m (12)", "dft_energy_ev_per_atom": -5.10, "raw_formation_energy_mev_per_atom": -1000, "lattice": [[-1.374, 4.583, -2.390], [-1.946, -1.181, 4.840], [5.209, 1.260, 1.416]], "species": ["Na", "Cu", "O", "O", "O", "O", "O", "Na", "Rh", "Na", "O", "Cu"], "frac_coords": [[0.169, 0.831, 0.500], [0.333, 0.667, 0.000], [0.605, 0.933, 0.800], [0.067, 0.395, 0.200], [0.738, 0.738, 0.200], [0.395, 0.067, 0.200], [0.262, 0.262, 0.800], [0.500, 0.500, 0.500], [0.000, 0.000, 0.000], [0.831, 0.169, 0.500], [0.933, 0.605, 0.800], [0.667, 0.333, 0.000]]}

[10]
{"formula": "Tb4TlB3Rh12", "functional": "PBE", "state": "optimized geometry", "spacegroup": "Im-3m (229)", "dft_energy_ev_per_atom": -6.92, "formation_enthalpy_0k_ev_per_fu": -9.27, "lattice": [[7.598, 0.000, 0.000], [-2.533, 7.164, 0.000], [-2.533, -3.582, 6.204]], "species": ["Rh", "Rh", "Rh", "B", "B", "B", "Tb", "Rh", "Rh", "Rh", "Rh", "Tb", "Rh", "Rh", "Rh", "Tb", "Rh", "Tb", "Rh", "Tl"], "frac_coords": [[0.717, 0.000, 0.717], [0.717, 0.717, 0.000], [0.250, 0.750, 0.500], [0.500, 0.500, 0.000], [0.000, 0.500, 0.500], [0.500, 0.000, 0.500], [0.500, 0.500, 0.500], [0.250, 0.500, 0.750], [0.283, 0.283, 0.000], [0.000, 0.717, 0.717], [0.750, 0.250, 0.500], [0.500, 0.000, 0.000], [0.750, 0.500, 0.250], [0.500, 0.750, 0.250], [0.500, 0.250, 0.750], [0.000, 0.500, 0.000], [0.000, 0.283, 0.283], [0.000, 0.000, 0.500], [0.283, 0.000, 0.283], [0.000, 0.000, 0.000]]}

[11]
{"formula": "AlCdSb4", "functional": "PBE", "state": "optimized geometry", "spacegroup": "F-43m (216)", "dft_energy_ev_per_atom": -3.19, "raw_formation_energy_mev_per_atom": 339, "lattice": [[0.000, 4.431, 4.431], [4.431, 0.000, 4.431], [4.431, 4.431, 0.000]], "species": ["Al", "Sb", "Sb", "Sb", "Sb", "Cd"], "frac_coords": [[0.750, 0.750, 0.750], [0.375, 0.375, 0.375], [0.375, 0.375, 0.874], [0.874, 0.375, 0.375], [0.375, 0.874, 0.375], [0.000, 0.000, 0.000]]}

[12]
{"formula": "CdSiW3", "functional": "PBE", "state": "optimized geometry", "spacegroup": "Pm-3m (221)", "e_above_lowest_polymorph_ev_per_atom": 1.8572, "dft_energy_ev_per_atom": -5.85, "raw_formation_energy_mev_per_atom": 3185, "lattice": [[-4.505, -0.215, -1.733], [1.688, -1.757, -4.172], [-0.445, -4.495, 1.713]], "species": ["Si", "W", "W", "Cd", "W"], "frac_coords": [[0.500, 0.500, 0.500], [0.000, 0.000, 0.500], [0.500, 0.000, 0.000], [0.000, 0.000, 0.000], [0.000, 0.500, 0.000]]}